This record from the Alexandria database describes DyMgCrS4 after structural relaxation. The functional is GGA-PBEsol.

Summary:
Its uncorrected formation energy is -1327.2 meV per atom. The space group is Imma (74). The mass density is 4.15 g/cm³.

```
14
Lattice="-3.6921 3.7774 5.2697 3.6921 -3.7774 5.2697 3.6921 3.7774 -5.2697" Properties=species:S:1:pos:R:3 pbc="T T T"
Dy 0.0000 0.0000 0.0000
Dy 0.0000 3.7774 0.0000
Mg 3.6921 1.8887 1.3167
Mg 0.0000 1.8887 3.9530
Cr 1.8460 1.8887 -2.6348
Cr 1.8460 -1.8887 2.6348
S 3.6921 -0.2738 2.5813
S 3.6921 3.5036 -2.5813
S 1.8492 1.8887 -0.2324
S 5.5349 1.8887 -0.2324
S -1.8429 1.8887 5.5021
S 1.8429 1.8887 5.5021
S 0.0000 0.2738 7.8510
S 0.0000 4.0512 2.6883
```

This record from the Alexandria database describes Dy3Mg2CrS8 after structural relaxation. The functional is GGA-PBEsol.

Summary:
Its uncorrected formation energy is -1592.5 meV per atom. The space group is R-3m (166). The mass density is 4.45 g/cm³.

```
14
Lattice="3.8439 2.2193 6.1613 -3.8439 2.2193 6.1613 0.0000 -4.4386 6.1613" Properties=species:S:1:pos:R:3 pbc="T T T"
Dy -1.9220 -1.1096 6.1613
Dy -1.9220 1.1096 12.3227
Dy 0.0000 2.2193 6.1613
Mg 0.0000 0.0000 2.3102
Mg 0.0000 0.0000 16.1738
Cr 0.0000 0.0000 9.2420
S 0.0000 0.0000 4.7064
S 0.0000 -2.0260 7.8304
S -1.7546 1.0130 7.8304
S -1.7546 -1.0130 10.6536
S 1.7546 1.0130 7.8304
S 1.7546 -1.0130 10.6536
S 0.0000 2.0260 10.6536
S 0.0000 0.0000 13.7776
```

This record from the Alexandria database describes DyMg2Cr3S8 after structural relaxation. The functional is GGA-PBEsol.

Summary:
Its uncorrected formation energy is -1096.2 meV per atom. The space group is R-3m (166). The mass density is 3.78 g/cm³.

```
14
Lattice="3.6237 2.0921 6.0147 -3.6237 2.0921 6.0147 0.0000 -4.1843 6.0147" Properties=species:S:1:pos:R:3 pbc="T T T"
Dy 0.0000 0.0000 0.0000
Mg 0.0000 0.0000 6.7596
Mg 0.0000 0.0000 11.2845
Cr -3.6237 0.0000 9.0221
Cr -1.8118 1.0461 3.0074
Cr 1.8118 1.0461 3.0074
S -1.9002 -1.0971 10.2721
S 0.0000 0.0000 4.2547
S 0.0000 -2.1941 7.7720
S -1.9002 1.0971 7.7720
S 1.9002 -1.0971 10.2721
S 0.0000 2.1941 10.2721
S 0.0000 0.0000 13.7894
S 1.9002 1.0971 7.7720
```

This record from the Alexandria database describes Er2CrS4 after structural relaxation. The functional is GGA-PBEsol.

Summary:
Its uncorrected formation energy is -1618.9 meV per atom. The space group is Pca2_1 (29). The mass density is 6.21 g/cm³.

```
56
Lattice="12.2173 0.0000 0.0000 0.0000 7.3152 0.0000 0.0000 0.0000 12.3311" Properties=species:S:1:pos:R:3 pbc="T T T"
Er 1.2981 0.8394 0.0000
Er 1.5629 4.5090 7.8714
Er 1.6203 2.7422 3.7476
Er 1.6483 6.3929 3.7668
Er 4.4603 6.3929 9.9324
Er 4.4884 2.7422 9.9131
Er 4.5458 4.5090 1.7059
Er 4.8105 0.8394 6.1656
Er 7.4067 6.4758 0.0000
Er 7.6715 2.8061 7.8714
Er 7.7289 4.5730 3.7476
Er 7.7569 0.9223 3.7668
Er 10.5690 0.9223 9.9324
Er 10.5970 4.5730 9.9131
Er 10.6544 2.8061 1.7059
Er 10.9192 6.4758 6.1656
Cr 1.3149 4.5497 0.0705
Cr 1.5482 0.9083 7.8465
Cr 4.5604 0.9083 1.6809
Cr 4.7937 4.5497 6.2360
Cr 7.4235 2.7654 0.0705
Cr 7.6568 6.4069 7.8465
Cr 10.6691 6.4069 1.6809
Cr 10.9024 2.7654 6.2360
S 0.0995 0.8544 2.3868
S 0.2689 4.6401 2.2161
S 0.3705 4.5179 5.4482
S 0.5865 0.9712 5.5990
S 2.5384 0.9165 10.0054
S 2.5427 4.5517 10.3181
S 2.8120 2.6836 1.1038
S 2.8337 6.3631 1.0767
S 3.2750 6.3631 7.2422
S 3.2966 2.6836 7.2693
S 3.5702 0.9165 3.8398
S 3.5659 4.5517 4.1525
S 5.5222 0.9712 11.7645
S 5.7382 4.5179 11.6137
S 5.8397 4.6401 8.3817
S 6.0091 0.8544 8.5524
S 6.2081 6.4607 2.3868
S 6.3775 2.6751 2.2161
S 6.4791 2.7973 5.4482
S 6.6951 6.3439 5.5990
S 8.6514 2.7634 10.3181
S 8.6471 6.3986 10.0054
S 8.9206 4.6315 1.1038
S 8.9423 0.9521 1.0767
S 9.3836 0.9521 7.2422
S 9.4053 4.6315 7.2693
S 9.6745 2.7634 4.1525
S 9.6788 6.3986 3.8398
S 11.6308 6.3439 11.7645
S 11.8468 2.7973 11.6137
S 11.9483 2.6751 8.3817
S 12.1178 6.4607 8.5524
```

This record from the Alexandria database describes CrF2 after structural relaxation. The functional is GGA-PBEsol.

Summary:
Its uncorrected formation energy is -2132.0 meV per atom. The space group is P2_1/c (14). The mass density is 3.89 g/cm³.

```
6
Lattice="3.5407 0.0000 0.0000 0.0000 4.6336 0.0000 -2.8345 0.0000 4.6802" Properties=species:S:1:pos:R:3 pbc="T T T"
Cr 0.0000 0.0000 0.0000
Cr -1.4172 2.3168 2.3401
F -1.3695 0.9037 3.7077
F 0.0478 1.4131 1.3676
F 0.6584 3.2205 3.3127
F 2.0757 3.7299 0.9726
```

This record from the Alexandria database describes CrF5 after structural relaxation. The functional is GGA-PBEsol.

Summary:
Its uncorrected formation energy is -2219.9 meV per atom. The space group is Pbcm (57). The mass density is 2.97 g/cm³.

```
24
Lattice="7.9131 0.0000 0.0000 0.0000 7.5864 0.0000 0.0000 0.0000 5.4749" Properties=species:S:1:pos:R:3 pbc="T T T"
Cr 1.9184 0.6764 1.3687
Cr 1.9184 3.1168 4.1062
Cr 5.9948 4.4696 1.3687
Cr 5.9948 6.9100 4.1062
F 0.2803 0.1844 1.3687
F 0.2803 3.6089 4.1062
F 1.2596 1.8966 0.0000
F 1.2596 1.8966 2.7375
F 2.4556 4.1723 2.8695
F 2.4556 4.1723 5.3429
F 2.4556 7.2073 0.1320
F 2.4556 7.2073 2.6054
F 3.2845 1.7066 1.3687
F 3.2845 2.0866 4.1062
F 4.6287 5.4998 1.3687
F 4.6287 5.8798 4.1062
F 5.4575 0.3791 2.8695
F 5.4575 0.3791 5.3429
F 5.4575 3.4141 0.1320
F 5.4575 3.4141 2.6054
F 6.6535 5.6898 0.0000
F 6.6535 5.6898 2.7375
F 7.6328 3.9776 1.3687
F 7.6328 7.4021 4.1062
```

This record from the Alexandria database describes CrF5 after structural relaxation. The functional is GGA-PBEsol.

Summary:
Its uncorrected formation energy is -2171.6 meV per atom. The space group is C2/c (15). The mass density is 3.06 g/cm³.

```
12
Lattice="4.4482 -2.7597 0.0000 4.4482 2.7597 0.0000 -2.7792 0.0000 6.4991" Properties=species:S:1:pos:R:3 pbc="T T T"
Cr 0.0000 0.0000 0.0000
Cr -1.3896 0.0000 3.2495
F 0.0073 0.5872 4.0860
F 2.3638 2.0939 4.8743
F 3.6558 1.2404 0.2529
F 1.3969 -0.5872 0.8365
F 3.8509 1.2404 2.9966
F 2.2662 -1.2404 3.5024
F 4.7202 0.5872 5.6626
F 2.4613 -1.2404 6.2462
F 3.7534 -2.0939 1.6248
F 6.1098 -0.5872 2.4130
```

This record from the Alexandria database describes CrF4 after structural relaxation. The functional is GGA-PBEsol.

Summary:
Its uncorrected formation energy is -2383.4 meV per atom. The space group is C2/c (15). The mass density is 3.42 g/cm³.

```
40
Lattice="7.3256 -4.8674 0.0000 7.3256 4.8674 0.0000 -1.4946 0.0000 6.9738" Properties=species:S:1:pos:R:3 pbc="T T T"
Cr 6.5386 2.4854 3.5022
Cr 5.8706 2.4854 6.9586
Cr 4.0272 0.0144 2.7337
Cr 3.2799 -0.0144 6.2206
Cr 9.8766 0.0144 0.7533
Cr 9.1293 -0.0144 4.2402
Cr 7.2859 -2.4854 0.0153
Cr 6.6179 -2.4854 3.4717
F 5.0088 3.8179 6.3040
F 4.9936 3.2211 3.4218
F 3.3601 1.4467 2.0764
F 1.8671 0.9481 6.2602
F 7.4004 3.8179 4.1567
F 6.9519 3.0530 1.7435
F 4.2851 1.4357 6.9722
F 3.7427 0.6441 4.5009
F 8.9102 3.2211 0.0652
F 2.6144 -0.9481 2.7733
F 6.2046 1.7905 5.2304
F 5.7515 0.8792 2.7776
F 4.4900 -0.6441 1.0140
F 2.6128 -1.4467 5.5633
F 8.1241 1.4357 3.4885
F 8.1523 0.8792 0.7093
F 5.0042 -0.8792 6.2645
F 5.0324 -1.4357 3.4853
F 10.5437 1.4467 1.4105
F 8.6665 0.6441 5.9599
F 7.4050 -0.8792 4.1962
F 6.9519 -1.7905 1.7435
F 10.5421 0.9481 4.2005
F 4.2463 -3.2211 6.9087
F 9.4138 -0.6441 2.4729
F 8.8714 -1.4357 0.0016
F 6.2046 -3.0530 5.2304
F 5.7561 -3.8179 2.8171
F 11.2894 -0.9481 0.7136
F 9.7964 -1.4467 4.8974
F 8.1629 -3.2211 3.5521
F 8.1477 -3.8179 0.6698
```

This record from the Alexandria database describes CrF5 after structural relaxation. The functional is GGA-PBEsol.

Summary:
Its uncorrected formation energy is -2171.5 meV per atom. The space group is P2_1/c (14). The mass density is 3.09 g/cm³.

```
24
Lattice="5.2191 0.0000 0.0000 0.0000 9.2600 0.0000 -2.6692 0.0000 6.5301" Properties=species:S:1:pos:R:3 pbc="T T T"
Cr 1.2990 2.3154 0.0174
Cr -0.0355 2.3146 3.2825
Cr 2.5855 6.9454 3.2476
Cr 1.2509 6.9446 6.5127
F 0.1971 6.1235 0.2711
F -1.1375 7.7665 3.5361
F -1.9846 0.9152 5.7339
F -0.6500 3.7148 2.4688
F 0.6317 1.6374 1.6499
F -0.7029 2.9926 4.9150
F 0.5795 0.9136 4.0951
F 1.9140 3.7164 0.8300
F 1.0894 6.1241 2.9591
F -0.2451 7.7658 6.2242
F 2.7950 1.4942 0.3060
F 1.4605 3.1358 3.5710
F 0.6359 5.5436 5.7001
F 1.9704 8.3464 2.4351
F 3.2528 6.2674 1.6152
F 1.9182 7.6226 4.8802
F 3.1999 5.5452 4.0613
F 4.5345 8.3448 0.7962
F 3.6874 1.4935 2.9940
F 2.3528 3.1365 6.2591
```

This record from the Alexandria database describes CrF6 after structural relaxation. The functional is GGA-PBEsol.

Summary:
Its uncorrected formation energy is -2033.8 meV per atom. The space group is R-3 (148). The mass density is 2.94 g/cm³.

```
7
Lattice="2.4675 1.4246 4.4519 -2.4675 1.4246 4.4519 0.0000 -2.8493 4.4519" Properties=species:S:1:pos:R:3 pbc="T T T"
Cr 0.0000 0.0000 0.0000
F -0.6940 -1.6138 5.4536
F -1.7446 -0.2059 7.9021
F -1.0506 1.4080 5.4536
F 1.0506 -1.4080 7.9021
F 1.7446 0.2059 5.4536
F 0.6940 1.6138 7.9021
```

This record from the Alexandria database describes NbCrFeF2 after structural relaxation. The functional is GGA-PBEsol.

Summary:
Its uncorrected formation energy is -388.4 meV per atom. The space group is P4/mmm (123). The mass density is 5.46 g/cm³.

```
5
Lattice="3.6263 0.0000 0.0000 0.0000 3.6263 0.0000 0.0000 0.0000 5.5242" Properties=species:S:1:pos:R:3 pbc="T T T"
Nb 0.0000 0.0000 0.0000
Cr 1.8132 1.8132 2.7621
Fe 1.8132 1.8132 0.0000
F 0.0000 1.8132 2.7621
F 1.8132 0.0000 2.7621
```

This record from the Alexandria database describes CrFeO2F after structural relaxation. The functional is GGA-PBEsol.

Summary:
Its uncorrected formation energy is -1043.4 meV per atom. The space group is P4/mmm (123). The mass density is 4.98 g/cm³.

```
5
Lattice="3.7736 0.0000 0.0000 0.0000 3.7736 0.0000 0.0000 0.0000 3.7172" Properties=species:S:1:pos:R:3 pbc="T T T"
Cr 0.0000 0.0000 0.0000
Fe 1.8868 1.8868 1.8586
O 0.0000 1.8868 0.0000
O 1.8868 0.0000 0.0000
F 0.0000 0.0000 1.8586
```